[1]
Compound: KRuSe2
Source: Alexandria
Functional: PBE-GGA
Structure: optimized geometry

- total moment (μB/cell) = 4.63
- crystal system = tetragonal
- formation energy (no corrections) (eV/f.u.) = 2.04

Cell: 4.137 4.137 10.142 Å, 90.00 90.00 90.00°
Space group I-4m2 (No. 119)
Inequivalent atoms, fractional coordinates:
K1 0.000 0.000 0.000 x2
Ru1 0.000 0.500 0.750 x2
Se1 0.000 0.000 0.500 x2
Se2 0.000 0.500 0.250 x2


[2]
Compound: Zn4Pt3
Source: Alexandria
Functional: PBE-GGA
Structure: optimized geometry

- total moment (μB/cell) = 0.00
- crystal system = trigonal
- energy relative to the lowest polymorph listed for this composition (meV per atom) = 0

Cell: 4.3245 4.3245 20.5838 Å, 90.00 90.00 120.00°
Space group R-3m (No. 166, hexagonal axes)
Inequivalent atoms, fractional coordinates:
Zn1 0.0000 0.0000 0.1145 x6
Zn2 0.0000 0.0000 0.3697 x6
Pt1 0.0000 0.0000 0.2459 x6
Pt2 0.0000 0.0000 0.5000 x3


[3]
Compound: Li3TbSn3
Source: Alexandria
Functional: PBE-GGA
Structure: optimized geometry

- total moment (μB/cell) = 0.00
- crystal system = cubic
- energy relative to the lowest polymorph listed for this composition (meV per atom) = 444

Cell: 7.096 7.096 7.096 Å, 90.00 90.00 90.00°
Space group Pm-3n (No. 223)
Inequivalent atoms, fractional coordinates:
Li1 0.000 0.250 0.500 x6
Tb1 0.000 0.000 0.000 x2
Sn1 0.000 0.500 0.250 x6


[4]
Compound: DyGaPt3
Source: Alexandria
Functional: PBE-GGA
Structure: optimized geometry

- total moment (μB/cell) = 0.00
- crystal system = orthorhombic
- energy relative to the lowest polymorph listed for this composition (meV per atom) = 0

Cell: 5.684 4.460 7.507 Å, 90.00 90.00 90.00°
Space group Pmn2_1 (No. 31)
Inequivalent atoms, fractional coordinates:
Dy1 0.000 0.080 0.000 x2
Ga1 0.000 0.332 0.578 x2
Pt1 0.000 0.869 0.399 x2
Pt2 0.246 0.623 0.787 x4


[5]
Compound: Tl2TePdO4
Source: Alexandria
Functional: PBE-GGA
Structure: optimized geometry

- total moment (μB/cell) = 0.00
- crystal system = triclinic
- formation energy (no corrections) (eV/f.u.) = -5.34

Cell: 4.921 5.334 6.462 Å, 112.90 107.05 94.54°
Space group P1 (No. 1)
Inequivalent atoms, fractional coordinates:
Tl1 0.000 0.000 0.000 x1
Tl2 0.288 0.855 0.567 x1
Te1 0.739 0.284 0.459 x1
Pd1 0.744 0.588 0.070 x1
O1 0.114 0.286 0.433 x1
O2 0.544 0.263 0.129 x1
O3 0.617 0.883 0.331 x1
O4 0.850 0.282 0.821 x1


[6]
Compound: K2ErCd2Se4
Source: Alexandria
Functional: PBE-GGA
Structure: optimized geometry

- total moment (μB/cell) = 0.00
- crystal system = monoclinic
- formation energy (no corrections) (eV/f.u.) = -9.79

Cell: 16.635 4.162 8.341 Å, 90.00 114.41 90.00°
Space group C2/m (No. 12)
Inequivalent atoms, fractional coordinates:
K1 0.126 0.000 0.061 x4
Er1 0.000 0.000 0.500 x2
Cd1 0.188 0.500 0.518 x4
Se1 0.020 0.500 0.276 x4
Se2 0.187 0.000 0.729 x4


[7]
Compound: YRuC2
Source: Alexandria
Functional: PBE-GGA
Structure: optimized geometry

- total moment (μB/cell) = 0.00
- crystal system = tetragonal

Cell: 4.853 4.853 10.464 Å, 90.00 90.00 90.00°
Space group I-42d (No. 122)
Inequivalent atoms, fractional coordinates:
Y1 0.000 0.000 0.000 x4
Ru1 0.000 0.000 0.500 x4
C1 0.159 0.250 0.625 x8


[8]
Compound: Mg2MnCrSb
Source: Alexandria
Functional: PBE-GGA
Structure: optimized geometry

- total moment (μB/cell) = 0.65
- crystal system = tetragonal
- formation energy (no corrections) (eV/f.u.) = 4.61

Cell: 5.334 5.334 5.085 Å, 90.00 90.00 90.00°
Space group P4/mmm (No. 123)
Inequivalent atoms, fractional coordinates:
Mg1 0.000 0.500 0.000 x2
Mn1 0.000 0.000 0.500 x1
Cr1 0.500 0.500 0.500 x1
Sb1 0.500 0.500 0.000 x1


[9]
Compound: Ta2HCl8
Source: Alexandria
Functional: PBE-GGA
Structure: optimized geometry

- total moment (μB/cell) = 2.01
- crystal system = monoclinic

Cell: 14.196 6.682 7.131 Å, 90.00 100.88 90.00°
Space group C2/m (No. 12)
Inequivalent atoms, fractional coordinates:
Ta1 0.250 0.000 0.001 x4
H1 0.000 0.500 0.500 x2
Cl1 0.146 0.000 0.214 x4
Cl2 0.146 0.500 0.212 x4
Cl3 0.147 0.249 0.799 x8


[10]
Compound: TmZrAlCu
Source: Alexandria
Functional: PBE-GGA
Structure: optimized geometry

- total moment (μB/cell) = 0.03
- crystal system = cubic

Cell: 6.847 6.847 6.847 Å, 90.00 90.00 90.00°
Space group F-43m (No. 216)
Inequivalent atoms, fractional coordinates:
Tm1 0.000 0.000 0.000 x4
Zr1 0.000 0.000 0.500 x4
Al1 0.250 0.250 0.750 x4
Cu1 0.250 0.250 0.250 x4


[11]
Compound: Tl2TeAs
Source: Alexandria
Functional: PBE-GGA
Structure: optimized geometry

- total moment (μB/cell) = 0.00
- crystal system = orthorhombic
- energy relative to the lowest polymorph listed for this composition (meV per atom) = 91
- formation energy (no corrections) (eV/f.u.) = 0.39

Cell: 3.229 5.891 6.191 Å, 90.00 90.00 90.00°
Space group Pmm2 (No. 25)
Inequivalent atoms, fractional coordinates:
Tl1 0.000 0.000 0.000 x1
Tl2 0.500 0.500 0.497 x1
Te1 0.500 0.500 0.997 x1
As1 0.000 0.000 0.500 x1


[12]
Compound: LaScGe
Source: Alexandria
Functional: PBE-GGA
Structure: optimized geometry

- total moment (μB/cell) = 0.00
- crystal system = hexagonal
- energy relative to the lowest polymorph listed for this composition (meV per atom) = 165

Cell: 4.6431 4.6431 4.3032 Å, 90.00 90.00 120.00°
Space group P-6m2 (No. 187)
Inequivalent atoms, fractional coordinates:
La1 0.0000 0.0000 0.0000 x1
Sc1 0.6667 0.3333 0.5000 x1
Ge1 0.3333 0.6667 0.5000 x1


[13]
Compound: YMg2ZrIn
Source: Alexandria
Functional: PBE-GGA
Structure: optimized geometry

- total moment (μB/cell) = 0.00
- crystal system = tetragonal

Cell: 5.345 5.345 5.496 Å, 90.00 90.00 90.00°
Space group P4/mmm (No. 123)
Inequivalent atoms, fractional coordinates:
Y1 0.000 0.000 0.000 x1
Mg1 0.000 0.500 0.000 x2
Zr1 0.500 0.500 0.500 x1
In1 0.000 0.000 0.500 x1


[14]
Compound: KNi2Sb
Source: Alexandria
Functional: PBE-GGA
Structure: optimized geometry

- total moment (μB/cell) = 0.00
- crystal system = tetragonal
- formation energy (no corrections) (eV/f.u.) = 1.14

Cell: 3.334 3.334 7.597 Å, 90.00 90.00 90.00°
Space group P4/mmm (No. 123)
Inequivalent atoms, fractional coordinates:
K1 0.000 0.000 0.000 x1
Ni1 0.500 0.500 0.337 x2
Sb1 0.000 0.000 0.500 x1


[15]
Compound: SrSi2Ir
Source: Alexandria
Functional: PBE-GGA
Structure: optimized geometry

- total moment (μB/cell) = 0.00
- crystal system = orthorhombic
- formation energy (no corrections) (eV/f.u.) = -0.54

Cell: 2.980 5.765 9.550 Å, 90.00 90.00 90.00°
Space group Immm (No. 71)
Inequivalent atoms, fractional coordinates:
Sr1 0.000 0.000 0.000 x2
Si1 0.000 0.500 0.201 x4
Ir1 0.000 0.000 0.500 x2


[16]
Compound: UP4O12
Source: Alexandria
Functional: PBE-GGA
Structure: optimized geometry

- total moment (μB/cell) = 8.00
- crystal system = triclinic
- energy relative to the lowest polymorph listed for this composition (meV per atom) = 1
- formation energy (no corrections) (eV/f.u.) = -39.70

Cell: 8.293 8.843 14.736 Å, 78.50 74.62 62.33°
Space group P-1 (No. 2)
Inequivalent atoms, fractional coordinates:
U1 0.097 0.158 0.111 x2
U2 0.374 0.331 0.390 x2
P1 0.112 0.353 0.638 x2
P2 0.123 0.083 0.368 x2
P3 0.240 0.746 0.494 x2
P4 0.247 0.011 0.742 x2
P5 0.260 0.728 0.020 x2
P6 0.299 0.472 0.748 x2
P7 0.372 0.377 0.124 x2
P8 0.396 0.134 0.868 x2
O1 0.079 0.500 0.350 x2
O2 0.089 0.792 0.592 x2
O3 0.093 0.199 0.712 x2
O4 0.127 0.598 0.803 x2
O5 0.135 0.074 0.266 x2
O6 0.141 0.901 0.420 x2
O7 0.147 0.689 0.971 x2
O8 0.147 0.925 0.816 x2
O9 0.168 0.891 0.067 x2
O10 0.208 0.291 0.542 x2
O11 0.220 0.352 0.102 x2
O12 0.227 0.176 0.946 x2
O13 0.251 0.589 0.464 x2
O14 0.253 0.392 0.676 x2
O15 0.257 0.131 0.392 x2
O16 0.341 0.573 0.098 x2
O17 0.364 0.921 0.655 x2
O18 0.378 0.055 0.784 x2
O19 0.407 0.307 0.815 x2
O20 0.409 0.326 0.222 x2
O21 0.414 0.744 0.508 x2
O22 0.419 0.982 0.107 x2
O23 0.443 0.530 0.690 x2
O24 0.444 0.727 0.950 x2


[17]
Compound: ReTc3Ru
Source: Alexandria
Functional: PBE-GGA
Structure: optimized geometry

- total moment (μB/cell) = 1.57
- crystal system = cubic
- energy relative to the lowest polymorph listed for this composition (meV per atom) = 1869

Cell: 4.621 4.621 4.621 Å, 90.00 90.00 90.00°
Space group Pm-3m (No. 221)
Inequivalent atoms, fractional coordinates:
Re1 0.000 0.000 0.000 x1
Tc1 0.000 0.000 0.500 x3
Ru1 0.500 0.500 0.500 x1


[18]
Compound: Pm2As4Pd3
Source: Alexandria
Functional: PBE-GGA
Structure: optimized geometry

- total moment (μB/cell) = 0.00
- crystal system = orthorhombic

Cell: 5.905 15.247 7.787 Å, 90.00 90.00 90.00°
Space group Cmce (No. 64)
Inequivalent atoms, fractional coordinates:
Pm1 0.000 0.117 0.077 x8
As1 0.000 0.184 0.459 x8
As2 0.250 0.048 0.750 x8
Pd1 0.000 0.000 0.500 x4
Pd2 0.250 0.218 0.750 x8


[19]
Compound: Hg3Au
Source: Alexandria
Functional: PBE-GGA
Structure: optimized geometry

- total moment (μB/cell) = 0.00
- crystal system = hexagonal
- energy relative to the lowest polymorph listed for this composition (meV per atom) = 96

Cell: 5.9926 5.9926 5.9203 Å, 90.00 90.00 120.00°
Space group P6_3/mmc (No. 194)
Inequivalent atoms, fractional coordinates:
Hg1 0.1677 0.3354 0.2500 x6
Au1 0.3333 0.6667 0.7500 x2


[20]
Compound: AcCdBi3
Source: Alexandria
Functional: PBE-GGA
Structure: optimized geometry

- total moment (μB/cell) = 0.00
- crystal system = monoclinic
- energy relative to the lowest polymorph listed for this composition (meV per atom) = 19

Cell: 8.722 4.641 8.737 Å, 90.00 106.44 90.00°
Space group P2_1/m (No. 11)
Inequivalent atoms, fractional coordinates:
Ac1 0.249 0.250 0.316 x2
Cd1 0.359 0.750 0.921 x2
Bi1 0.060 0.250 0.906 x2
Bi2 0.123 0.750 0.576 x2
Bi3 0.468 0.250 0.730 x2


[21]
Compound: Pr5TmPb3
Source: Alexandria
Functional: PBE-GGA
Structure: optimized geometry

- total moment (μB/cell) = 5.17
- crystal system = hexagonal

Cell: 9.8128 9.8128 6.8215 Å, 90.00 90.00 120.00°
Space group P6_3/mcm (No. 193)
Inequivalent atoms, fractional coordinates:
Pr1 0.0000 0.3246 0.2500 x6
Pr2 0.3333 0.6667 0.0000 x4
Tm1 0.0000 0.0000 0.0000 x2
Pb1 0.0000 0.3390 0.7500 x6


Number 1: electronic total energy -15.30 eV per formula unit. Number 2: electronic total energy -26.49 eV per formula unit. Number 3: electronic total energy -20.98 eV per formula unit. Number 4: electronic total energy -30.21 eV per formula unit. Number 5: electronic total energy -38.24 eV per formula unit. Number 6: electronic total energy -32.31 eV per formula unit. Number 7: electronic total energy -33.02 eV per formula unit. Number 8: electronic total energy -21.50 eV per formula unit. Number 9: electronic total energy -52.18 eV per formula unit. Number 10: electronic total energy -21.75 eV per formula unit. Number 11: electronic total energy -12.13 eV per formula unit. Number 12: electronic total energy -17.56 eV per formula unit. Number 13: electronic total energy -15.04 eV per formula unit. Number 14: electronic total energy -15.64 eV per formula unit. Number 15: electronic total energy -21.93 eV per formula unit. Number 16: electronic total energy -132.12 eV per formula unit. Number 17: electronic total energy -42.91 eV per formula unit. Number 18: electronic total energy -51.33 eV per formula unit. Number 19: electronic total energy -3.72 eV per formula unit. Number 20: electronic total energy -18.43 eV per formula unit. Number 21: electronic total energy -43.11 eV per formula unit.